First-principles (PBE) data for crystalline DyInNiPt at its relaxed geometry, as listed in the Alexandria database.

Properties
formation energy from the elements	-0.648	eV per atom
magnetic moment	0.00	μB/atom
E	-5.439	eV/atom
symmetry	No. 216

a b c (Å): 4.720 4.720 4.720
angles (deg): 60.00 60.00 60.00
Sites, in units of the cell vectors:
Ni: 0.750 0.750 0.750
In: 0.500 0.500 0.500
Pt: 0.250 0.250 0.250
Dy: 0.000 0.000 0.000

***

First-principles (PBE) data for crystalline CaNd2HoTe4 at its relaxed geometry, as listed in the Alexandria database.

Properties
magnetic moment	0.00	μB/atom
energy relative to the elements, uncorrected	-137.49	kJ/mol of atoms
E	-5.010	eV/atom
symmetry	No. 10

a b c (Å): 4.406 7.668 7.811
angles (deg): 108.79 90.00 90.00
Sites, in units of the cell vectors:
Ca: 0.000 0.000 0.000
Nd: 0.500 0.000 0.500
Nd: 0.000 0.500 0.500
Ho: 0.500 0.500 0.000
Te: 0.500 0.250 0.240
Te: 0.500 0.750 0.760
Te: 0.000 0.256 0.762
Te: 0.000 0.744 0.238

***

First-principles (PBE) data for crystalline SmRhAu at its relaxed geometry, as listed in the Alexandria database.

Properties
formation energy from the elements	-0.548	eV per atom
E above lowest polymorph	0.099	eV per atom
magnetic moment	0.00	μB/atom
E	-5.664	eV/atom
symmetry	No. 107

a b c (Å): 3.633 3.633 5.327
angles (deg): 109.93 109.93 90.00
Sites, in units of the cell vectors:
Au: 0.277 0.277 0.555
Rh: 0.616 0.616 0.233
Sm: 0.956 0.956 0.912

***

Which of these has the highest E?
CaNd2HoTe4